# La4Te2I3, optimized geometry, DFT PBE
# Spin magnetization   0.00 μB per atom
# E_form (uncorrected)   -1.410 eV/atom
data_La4Te2I3
_chemical_formula_sum 'La8 Te4 I6'
_cell_length_a 7.954
_cell_length_b 4.593
_cell_length_c 18.828
_cell_angle_alpha 90.00
_cell_angle_beta 90.07
_cell_angle_gamma 90.00
_symmetry_space_group_name_H-M 'C 1 2/m 1'
_symmetry_Int_Tables_number 12
loop_
_symmetry_equiv_pos_as_xyz
'x,y,z'
'-x,-y,-z'
'-x,y,-z'
'x,-y,z'
'x+1/2,y+1/2,z'
'-x+1/2,-y+1/2,-z'
'-x+1/2,y+1/2,-z'
'x+1/2,-y+1/2,z'
loop_
_atom_site_label
_atom_site_fract_x
_atom_site_fract_y
_atom_site_fract_z
La1 0.001 0.000 0.291
La2 0.166 0.500 0.892
Te1 0.167 0.500 0.200
I1 0.000 0.000 0.000
I2 0.166 0.500 0.603